# 1
Below is CaAl2Pd6 after structural relaxation, with properties calculated at the PBE level.

Computed properties:
The crystal system is cubic. For the formation energy, the calculation gives -0.33 eV per atom.

Lattice parameters (Å, degrees): 11.2479 11.2479 11.2479 90.00 90.00 90.00
Last column: nearest neighbours and their distance in Å.
Space group Fd-3m (No. 227, origin choice 2)
One atom of each set of equivalent atoms:
Ca 0.1250 0.1250 0.1250  6 Pd 2.80
Al 0.0000 0.0000 0.5000  6 Pd 2.44
Pd 0.1240 0.3750 0.3750  2 Al 2.44


# 2
Below is Ca3Al8Pd after structural relaxation, with properties calculated at the PBE level.

Computed properties:
The crystal system is trigonal. For the formation energy, the calculation gives -0.28 eV per atom.

Lattice parameters (Å, degrees): 5.6072 5.6072 27.2857 90.00 90.00 120.00
Last column: nearest neighbours and their distance in Å.
Space group R3m (No. 160, hexagonal axes)
One atom of each set of equivalent atoms:
Ca 0.0000 0.0000 0.0000  12 Al 3.25-3.30, 4 Ca 3.47-3.51
Ca 0.0000 0.0000 0.1287  12 Al 3.20-3.32, 3 Pd 3.24, 1 Ca 3.51
Ca 0.0000 0.0000 0.6209  12 Al 3.21-3.39, 3 Ca 3.47
Al 0.0000 0.0000 0.3142  6 Al 2.79-2.81
Al 0.0000 0.0000 0.8142  6 Al 2.77-2.79
Al 0.9998 0.4999 0.5632  6 Al 2.77-2.81
Al 0.1688 0.3375 0.3971  1 Pd 2.58, 6 Al 2.77-2.84
Pd 0.0000 0.0000 0.4701  3 Al 2.58


# 3
Below is CaAl9Pd2 after structural relaxation, with properties calculated at the PBE level.

Computed properties:
The crystal system is hexagonal. For the polymorph energy (0 for the lowest one), the calculation gives 0.052 eV per atom. For the formation energy, the calculation gives -0.34 eV per atom.

Lattice parameters (Å, degrees): 8.1837 8.1837 3.9181 90.00 90.00 120.00
Last column: nearest neighbours and their distance in Å.
Space group P6/mmm (No. 191)
One atom of each set of equivalent atoms:
Ca 0.0000 0.0000 0.0000  12 Al 3.48
Al 0.0000 0.5000 0.0000  2 Pd 2.36
Al 0.2026 0.4053 0.5000  2 Pd 2.70, 6 Al 2.87-2.91
Pd 0.3333 0.6667 0.0000  3 Al 2.36


# 4
Below is CaAl2Pd2 after structural relaxation, with properties calculated at the PBE level.

Computed properties:
The crystal system is tetragonal. For the formation energy, the calculation gives -0.77 eV per atom.

Lattice parameters (Å, degrees): 4.3082 4.3082 20.7782 90.00 90.00 90.00
Last column: nearest neighbours and their distance in Å.
Space group I4/mmm (No. 139)
One atom of each set of equivalent atoms:
Ca 0.0000 0.0000 0.1277  8 Pd 3.28-3.33, 8 Al 3.30-3.42
Al 0.0000 0.0000 0.3115  5 Pd 2.48-2.50
Al 0.0000 0.5000 0.0000  4 Pd 2.59
Pd 0.0000 0.0000 0.4308  5 Al 2.48-2.59
Pd 0.0000 0.5000 0.2500  4 Al 2.50


# 5
Below is Ca6AlPd2 after structural relaxation, with properties calculated at the PBE level.

Computed properties:
The crystal system is orthorhombic. For the formation energy, the calculation gives -0.42 eV per atom.

Lattice parameters (Å, degrees): 9.6533 9.7315 11.1875 90.00 90.00 90.00
Last column: nearest neighbours and their distance in Å.
Space group Immm (No. 71)
One atom of each set of equivalent atoms:
Ca 0.0000 0.1827 0.1576  3 Pd 2.93-3.28
Ca 0.1799 0.2047 0.5000  3 Pd 3.03-3.04, 1 Al 3.36
Ca 0.1908 0.5000 0.2524  1 Pd 2.90
Al 0.0000 0.5000 0.0000  12 Ca 3.37-3.68
Al 0.0000 0.5000 0.5000  2 Pd 2.70
Pd 0.0000 0.0000 0.3662  8 Ca 2.93-3.27, 1 Pd 2.99
Pd 0.2198 0.0000 0.0000  1 Al 2.70, 2 Ca 2.90


# 6
Below is Ca2AlPd after structural relaxation, with properties calculated at the PBE level.

Computed properties:
The crystal system is trigonal. For the formation energy, the calculation gives -0.49 eV per atom.

Lattice parameters (Å, degrees): 4.3322 4.3322 21.8278 90.00 90.00 120.00
Last column: nearest neighbours and their distance in Å.
Space group R3m (No. 160, hexagonal axes)
One atom of each set of equivalent atoms:
Ca 0.0000 0.0000 0.0000  3 Pd 3.17, 3 Al 3.19
Ca 0.0000 0.0000 0.1800  3 Al 3.17, 3 Pd 3.19
Al 0.0000 0.0000 0.7571  3 Pd 2.50
Pd 0.0000 0.0000 0.4223  3 Al 2.50


Magnetic moment
In order: 0.0 0.0 0.0 0.0 0.0 0.0
Unit: μB per formula unit